PBE with a Hubbard U InCoAu2O6, optimized geometry; space group = No. 15; total DFT energy (no corrections) = -4.9971 eV/atom; density = 9.21 g/cm3
1.0
6.028 -3.668 0.000
6.028 3.668 0.000
-1.527 0.000 5.409
In Co Au O
2 2 4 12
Cartesian
4.883 2.549 4.057
5.646 -2.549 1.352
5.646 0.750 1.352
4.883 -0.750 4.057
1.839 1.058 4.123
2.602 -1.058 1.418
7.927 1.058 3.991
8.690 -1.058 1.287
1.792 0.780 1.277
4.543 2.209 1.922
6.750 2.209 0.782
1.028 -0.780 3.982
3.718 0.651 4.788
6.047 0.651 3.326
4.482 -0.651 2.083
6.811 -0.651 0.621
9.501 0.780 1.428
3.779 -2.209 4.627
5.986 -2.209 3.487
8.737 -0.780 4.132